A plane-wave DFT calculation with PBEsol was carried out for a relaxed YScMo2 crystal.

Output
* formation enthalpy at 0 K: 85 meV/atom

Unit cell a=3.214 b=3.214 c=7.864 alpha=90.00 beta=90.00 gamma=90.00
Space group P4mm (No. 99)
Symmetry-distinct sites (fractional):
1 Y 0.000 0.000 0.000 [1 per cell]
2 Sc 0.500 0.500 0.646 [1 per cell]
3 Mo 0.000 0.000 0.426 [1 per cell]
4 Mo 0.500 0.500 0.255 [1 per cell]